1.
First-principles (PBE-GGA) data for a relaxed structure of CsPb4I8, as listed in the Alexandria database.

Unit cell a=10.0619 b=10.0619 c=10.0619 alpha=60.00 beta=60.00 gamma=60.00
Fractional positions:
Cs1 0.0000 0.0000 0.0000
Pb1 0.1373 0.6209 0.6209
Pb2 0.6209 0.1373 0.6209
Pb3 0.6209 0.6209 0.1373
Pb4 0.6209 0.6209 0.6209
I1 0.3890 0.3890 0.3890
I2 0.3890 0.3890 0.8330
I3 0.3890 0.8330 0.3890
I4 0.4390 0.8537 0.8537
I5 0.8330 0.3890 0.3890
I6 0.8537 0.4390 0.8537
I7 0.8537 0.8537 0.4390
I8 0.8537 0.8537 0.8537

Properties
V = 720.32 Å³/cell
Total magnetic moment = 0.00 μB/cell
Energy above the lowest structure with this stoichiometry = 0.0297 eV per atom
DFT total energy = -2.821 eV per atom
Density = 4557 kg/m³

2.
First-principles (PBE-GGA) data for a relaxed structure of CsPb2I2, as listed in the Alexandria database.

Unit cell a=9.9702 b=9.9702 c=5.1038 alpha=90.00 beta=90.00 gamma=90.00
Fractional positions:
Cs1 0.0000 0.0000 0.0000
Cs2 0.5000 0.5000 0.0000
Pb1 0.1037 0.3963 0.5000
Pb2 0.3963 0.8963 0.5000
Pb3 0.6037 0.1037 0.5000
Pb4 0.8963 0.6037 0.5000
I1 0.1417 0.6417 0.0000
I2 0.3583 0.1417 0.0000
I3 0.6417 0.8583 0.0000
I4 0.8583 0.3583 0.0000

Properties
V = 507.35 Å³/cell
Total magnetic moment = 0.00 μB/cell
Energy above the lowest structure with this stoichiometry = 0.3061 eV per atom
DFT total energy = -2.587 eV per atom
Density = 5244 kg/m³

3.
First-principles (PBE-GGA) data for a relaxed structure of CsPb3I, as listed in the Alexandria database.

Unit cell a=6.2102 b=6.2102 c=6.2102 alpha=90.00 beta=90.00 gamma=90.00
Fractional positions:
Cs1 0.0000 0.0000 0.0000
Pb1 0.0000 0.5000 0.5000
Pb2 0.5000 0.0000 0.5000
Pb3 0.5000 0.5000 0.0000
I1 0.5000 0.5000 0.5000

Properties
V = 239.51 Å³/cell
Total magnetic moment = 0.00 μB/cell
Energy above the lowest structure with this stoichiometry = 0.0000 eV per atom
DFT total energy = -2.386 eV per atom
Density = 6111 kg/m³

4.
First-principles (PBE-GGA) data for a relaxed structure of CsPbI2, as listed in the Alexandria database.

Unit cell a=8.1298 b=8.1298 c=8.1298 alpha=39.26 beta=39.26 gamma=39.26
Fractional positions:
Cs1 0.0000 0.0000 0.0000
Pb1 0.5000 0.5000 0.5000
I1 0.2306 0.2306 0.2306
I2 0.7694 0.7694 0.7694

Properties
V = 193.62 Å³/cell
Total magnetic moment = 0.00 μB/cell
Energy above the lowest structure with this stoichiometry = 0.0000 eV per atom
DFT total energy = -2.657 eV per atom
Density = 5093 kg/m³

Question: What is the energy above the lowest structure with this stoichiometry in the second record?
Answer: 0.3061 eV per atom